Compound: KTl2Cr
Source: Alexandria via LeMat-Bulk
Functional: PBE-GGA
Structure: optimized geometry

Lattice parameters (Å, degrees): 5.4521 5.4521 5.4521 120.15 120.15 89.75
Closest atoms and distances in Å follow each position.
Fractional coordinates of all 4 atoms:
Cr (0.5000, 0.5000, 0.0000)  4 K 3.34, 4 Tl 3.34
K (0.7500, 0.2500, 0.5000)  4 Cr 3.34, 4 Tl 3.34
Tl (0.0000, 0.0000, 0.0000)  4 Tl 3.34, 4 K 3.34
Tl (0.2500, 0.7500, 0.5000)  4 Tl 3.34, 4 Cr 3.34

Calculated values
The calculation puts the energy above the most stable polymorph in this dataset at 0.79 eV/f.u. The density of states at the Fermi level is 0.406 states/eV per atom. The total energy is -3.379 eV per atom. The calculation puts the formation energy at 0.485 eV per atom.